{
  "formula": "TlRh2Cl",
  "functional": "GGA-PBE",
  "state": "relaxed",
  "lattice_angstrom": [[-2.2310, -4.4084, -4.3283], [1.8583, -6.0476, -1.7660], [-1.8856, 4.5367, 4.3597]],
  "species": ["Cl", "Rh", "Rh", "Tl"],
  "frac_coords": [[0.2644, 0.7644, 0.5000], [0.9424, 0.9424, 0.0000], [0.7531, 0.2531, 0.5000], [0.5400, 0.5400, 0.0000]],
  "m_tot_mub_per_cell": 0.0,
  "formation_energy_uncorrected_ev_per_fu": 1.23,
  "dft_energy_ev_per_cell": -17.7
}